The following is a DFT calculation (PBE) of LaAlP2 after structural relaxation.

abc: 4.249 4.249 10.598
angles: 90.00 90.00 120.00
Positions (direct):
La1 0.000 0.000 0.179
La2 0.000 0.000 0.821
Al1 0.333 0.667 0.407
Al2 0.667 0.333 0.593
P1 0.333 0.667 0.632
P2 0.333 0.667 0.999
P3 0.667 0.333 0.001
P4 0.667 0.333 0.368

Results
Size of the total moment = 0.0 μB per cell
DOS at the Fermi energy = 1.9 states/eV/f.u.
E_tot = -45.23 eV/cell